Record 1
# PBE InHgTePb, optimized geometry
# Relative energy among the computed polymorphs = 0 meV per atom
data_InHgTePb
_chemical_formula_sum 'In2 Hg2 Te2 Pb2'
_symmetry_space_group_name_H-M 'P 1'
_symmetry_Int_Tables_number 1
_cell_length_a 4.232
_cell_length_b 4.232
_cell_length_c 16.647
_cell_angle_alpha 82.70
_cell_angle_beta 82.70
_cell_angle_gamma 60.00
loop_
_symmetry_equiv_pos_as_xyz
'x,y,z'
loop_
_atom_site_label
_atom_site_type_symbol
_atom_site_fract_x
_atom_site_fract_y
_atom_site_fract_z
In1 In 0.608 0.608 0.176
In2 In 0.392 0.392 0.824
Hg1 Hg 0.687 0.687 0.940
Hg2 Hg 0.313 0.313 0.060
Te1 Te 0.100 0.100 0.701
Te2 Te 0.900 0.900 0.299
Pb1 Pb 0.807 0.807 0.578
Pb2 Pb 0.193 0.193 0.422



Record 2
# PBE Sn2SeF, optimized geometry
# Relative energy among the computed polymorphs = 0 meV per atom
data_Sn2SeF
_chemical_formula_sum 'Sn8 Se4 F4'
_symmetry_space_group_name_H-M 'P 1'
_symmetry_Int_Tables_number 1
_cell_length_a 6.844
_cell_length_b 6.359
_cell_length_c 10.466
_cell_angle_alpha 100.61
_cell_angle_beta 102.46
_cell_angle_gamma 111.46
loop_
_symmetry_equiv_pos_as_xyz
'x,y,z'
loop_
_atom_site_label
_atom_site_type_symbol
_atom_site_fract_x
_atom_site_fract_y
_atom_site_fract_z
Sn1 Sn 0.576 0.864 0.129
Sn2 Sn 0.052 0.265 0.129
Sn3 Sn 0.424 0.136 0.871
Sn4 Sn 0.948 0.735 0.871
Sn5 Sn 0.313 0.613 0.656
Sn6 Sn 0.157 0.957 0.344
Sn7 Sn 0.687 0.387 0.344
Sn8 Sn 0.843 0.043 0.656
Se1 Se 0.413 0.663 0.326
Se2 Se 0.186 0.436 0.873
Se3 Se 0.587 0.337 0.674
Se4 Se 0.814 0.564 0.127
F1 F 0.332 0.082 0.164
F2 F 0.668 0.918 0.836
F3 F 0.983 0.733 0.467
F4 F 0.017 0.267 0.533



no.,uncorrected energy (eV/atom),D(E_F) (states/eV/atom),total magnetic moment (μB per formula unit)
1,-2.5598,0.451,0.0
2,-4.2209,0.233,0.0